The following is a PBE+U calculation of crystalline Sr4LiMn2Ga2O11 at its relaxed geometry, from Alexandria via LeMat-Bulk.

```
data_Sr4LiMn2Ga2O11
_chemical_formula_sum 'Sr4 Li1 Mn2 Ga2 O11'
_cell_length_a 5.580
_cell_length_b 5.580
_cell_length_c 8.863
_cell_angle_alpha 108.30
_cell_angle_beta 108.30
_cell_angle_gamma 88.44
_symmetry_space_group_name_H-M 'P 1'
_symmetry_Int_Tables_number 1
loop_
_symmetry_equiv_pos_as_xyz
'x,y,z'
loop_
_atom_site_label
_atom_site_type_symbol
_atom_site_fract_x
_atom_site_fract_y
_atom_site_fract_z
_atom_site_occupancy
Sr1 Sr 0.115 0.115 0.237 1
Sr2 Sr 0.343 0.343 0.702 1
Sr3 Sr 0.657 0.657 0.298 1
Sr4 Sr 0.885 0.885 0.763 1
Li1 Li 0.500 0.500 0.000 1
Mn1 Mn 0.000 0.500 0.000 1
Mn2 Mn 0.500 0.000 0.000 1
Ga1 Ga 0.238 0.762 0.500 1
Ga2 Ga 0.762 0.238 0.500 1
O1 O 0.000 0.000 0.500 1
O2 O 0.000 0.500 0.500 1
O3 O 0.180 0.584 0.261 1
O4 O 0.241 0.241 0.951 1
O5 O 0.248 0.752 0.000 1
O6 O 0.416 0.820 0.739 1
O7 O 0.500 0.000 0.500 1
O8 O 0.584 0.180 0.261 1
O9 O 0.752 0.248 0.000 1
O10 O 0.759 0.759 0.049 1
O11 O 0.820 0.416 0.739 1
```

Values from the calculation:
Crystal system = monoclinic
Magnetization = 7.0 μB/cell
Total DFT energy (no corrections) = -6.280 eV/atom